1.
GeMo2W | PBE-GGA | relaxed

POSCAR file:
```
GeMo2W
1.0
6.2931 0.0000 0.0000
0.0000 6.2931 0.0000
0.0000 0.0000 6.2931
Ge Mo W
4 8 4
Cartesian
0.0000 0.0000 0.0000 Ge
0.0000 3.1465 3.1465 Ge
3.1465 0.0000 3.1465 Ge
3.1465 3.1465 0.0000 Ge
0.0000 0.0000 3.1465 Mo
0.0000 3.1465 0.0000 Mo
1.5733 1.5733 4.7198 Mo
1.5733 4.7198 1.5733 Mo
3.1465 0.0000 0.0000 Mo
3.1465 3.1465 3.1465 Mo
4.7198 1.5733 1.5733 Mo
4.7198 4.7198 4.7198 Mo
1.5733 1.5733 1.5733 W
1.5733 4.7198 4.7198 W
4.7198 1.5733 4.7198 W
4.7198 4.7198 1.5733 W
```

## Properties
symmetry	No. 216
V	249.2	Å³/cell
electronic total energy	-153.3	eV per cell


2.
GeMoW | PBE-GGA | relaxed

POSCAR file:
```
GeMoW
1.0
6.0732 0.0000 0.0000
0.0000 6.0732 0.0000
0.0000 0.0000 6.0732
Ge Mo W
4 4 4
Cartesian
0.0000 0.0000 0.0000 Ge
0.0000 3.0366 3.0366 Ge
3.0366 0.0000 3.0366 Ge
3.0366 3.0366 0.0000 Ge
0.0000 0.0000 3.0366 Mo
0.0000 3.0366 0.0000 Mo
3.0366 0.0000 0.0000 Mo
3.0366 3.0366 3.0366 Mo
1.5183 1.5183 1.5183 W
1.5183 4.5549 4.5549 W
4.5549 1.5183 4.5549 W
4.5549 4.5549 1.5183 W
```

## Properties
symmetry	No. 216
V	224.0	Å³/cell
electronic total energy	-106.3	eV per cell


3.
GeMoW2 | PBE-GGA | relaxed

POSCAR file:
```
GeMoW2
1.0
6.3060 0.0000 0.0000
0.0000 6.3060 0.0000
0.0000 0.0000 6.3060
Ge Mo W
4 4 8
Cartesian
0.0000 0.0000 0.0000 Ge
0.0000 3.1530 3.1530 Ge
3.1530 0.0000 3.1530 Ge
3.1530 3.1530 0.0000 Ge
1.5765 1.5765 1.5765 Mo
1.5765 4.7295 4.7295 Mo
4.7295 1.5765 4.7295 Mo
4.7295 4.7295 1.5765 Mo
0.0000 0.0000 3.1530 W
0.0000 3.1530 0.0000 W
1.5765 1.5765 4.7295 W
1.5765 4.7295 1.5765 W
3.1530 0.0000 0.0000 W
3.1530 3.1530 3.1530 W
4.7295 1.5765 1.5765 W
4.7295 4.7295 4.7295 W
```

## Properties
symmetry	No. 216
V	250.8	Å³/cell
electronic total energy	-161.5	eV per cell